SiMoP2F after structural relaxation. Source: the Alexandria database, functional PBE+U.

Cell: 4.490 4.490 4.098 Å, 90.00 90.00 90.00°
Fractional coordinates of all 5 atoms:
Si 0.000 0.000 0.000
Mo 0.500 0.500 0.000
P 0.000 0.500 0.500
P 0.500 0.000 0.500
F 0.000 0.000 0.500

## Properties
Energy: -4.404 eV per atom